[1]
PrAlGa2, relaxed, DFT PBE; uncorrected energy = -4.181 eV per atom
1.0
4.5517 0.0000 0.0000
0.0000 11.3912 0.0000
0.0000 0.0000 6.5403
Pr Al Ga
4 4 8
direct
0.2500 0.1677 0.0000
0.2500 0.6677 0.5000
0.7500 0.3323 0.5000
0.7500 0.8323 0.0000
0.2500 0.4322 0.2065
0.2500 0.9322 0.7065
0.7500 0.0678 0.7065
0.7500 0.5678 0.2065
0.2500 0.1426 0.5015
0.2500 0.4304 0.7854
0.2500 0.6427 0.0015
0.2500 0.9304 0.2854
0.7500 0.0696 0.2854
0.7500 0.3574 0.0015
0.7500 0.5696 0.7854
0.7500 0.8574 0.5015

[2]
HoReOs, relaxed, DFT PBE; uncorrected energy = -7.670 eV per atom
1.0
6.3339 0.0000 0.0000
0.0000 6.3339 0.0000
0.0000 0.0000 6.3339
Ho Re Os
4 4 4
direct
0.0000 0.0000 0.0000
0.0000 0.5000 0.5000
0.5000 0.0000 0.5000
0.5000 0.5000 0.0000
0.2500 0.2500 0.2500
0.2500 0.7500 0.7500
0.7500 0.2500 0.7500
0.7500 0.7500 0.2500
0.2500 0.2500 0.7500
0.2500 0.7500 0.2500
0.7500 0.2500 0.2500
0.7500 0.7500 0.7500

[3]
SrLiErS3, relaxed, DFT PBE; relative energy among the computed polymorphs = 24 kJ/mol of formula units
1.0
13.2325 0.0000 0.0000
0.0000 3.9742 0.0000
0.0000 0.0000 10.3094
Sr Li Er S
4 4 4 12
direct
0.2284 0.2500 0.0277
0.2716 0.7500 0.5277
0.7284 0.2500 0.4723
0.7716 0.7500 0.9723
0.0061 0.7500 0.0897
0.4939 0.2500 0.5897
0.5061 0.7500 0.4103
0.9939 0.2500 0.9103
0.0164 0.2500 0.3329
0.4836 0.7500 0.8329
0.5164 0.2500 0.1671
0.9836 0.7500 0.6671
0.0948 0.7500 0.8874
0.1059 0.2500 0.5687
0.1389 0.7500 0.2471
0.3611 0.2500 0.7471
0.3941 0.7500 0.0687
0.4052 0.2500 0.3874
0.5948 0.7500 0.6126
0.6059 0.2500 0.9313
0.6389 0.7500 0.2529
0.8611 0.2500 0.7529
0.8941 0.7500 0.4313
0.9052 0.2500 0.1126

[4]
ErThPt, relaxed, DFT PBE; relative energy among the computed polymorphs = 0 kJ/mol of formula units
1.0
6.9893 0.0000 0.0000
0.0000 6.9893 0.0000
0.0000 0.0000 6.9893
Er Th Pt
4 4 4
direct
0.0000 0.0000 0.0000
0.0000 0.5000 0.5000
0.5000 0.0000 0.5000
0.5000 0.5000 0.0000
0.0000 0.0000 0.5000
0.0000 0.5000 0.0000
0.5000 0.0000 0.0000
0.5000 0.5000 0.5000
0.2500 0.2500 0.2500
0.2500 0.7500 0.7500
0.7500 0.2500 0.7500
0.7500 0.7500 0.2500

[5]
Lu4TlSN2, relaxed, DFT PBE; uncorrected energy = -6.612 eV per atom
1.0
3.4709 0.0000 0.0000
-1.7355 3.0059 0.0000
0.0000 0.0000 13.7609
Lu Tl S N
4 1 1 2
direct
0.0000 0.0000 0.1334
0.0000 0.0000 0.8666
0.6667 0.3333 0.3181
0.6667 0.3333 0.6819
0.0000 0.0000 0.5000
0.6667 0.3333 0.0000
0.3333 0.6667 0.2250
0.3333 0.6667 0.7750

[6]
HoTmAg2, relaxed, DFT PBE; uncorrected energy = -3.979 eV per atom
1.0
4.7477 0.0000 0.0000
0.0000 3.6547 0.0000
0.0000 0.0000 10.9131
Ho Tm Ag
2 2 4
direct
0.0000 0.0000 0.0000
0.0000 0.5000 0.5000
0.5000 0.0000 0.7129
0.5000 0.5000 0.2129
0.0000 0.0000 0.2743
0.0000 0.5000 0.7743
0.5000 0.0000 0.4377
0.5000 0.5000 0.9377

[7]
TlReAuO3, relaxed, DFT PBE; uncorrected energy = -6.214 eV per atom
1.0
11.8329 0.0000 0.0000
0.0000 2.8632 0.0000
0.0000 0.0000 10.5761
Tl Re Au O
4 4 4 12
direct
0.2115 0.2500 0.1006
0.2885 0.7500 0.6006
0.7115 0.2500 0.3994
0.7885 0.7500 0.8994
0.0130 0.7500 0.3914
0.4870 0.2500 0.8914
0.5130 0.7500 0.1086
0.9870 0.2500 0.6086
0.0675 0.7500 0.9120
0.4325 0.2500 0.4120
0.5675 0.7500 0.5880
0.9325 0.2500 0.0880
0.0850 0.7500 0.6942
0.1048 0.7500 0.2517
0.1189 0.2500 0.4730
0.3811 0.7500 0.9730
0.3952 0.2500 0.7517
0.4150 0.2500 0.1942
0.5850 0.7500 0.8058
0.6048 0.7500 0.2483
0.6189 0.2500 0.0270
0.8811 0.7500 0.5270
0.8952 0.2500 0.7483
0.9150 0.2500 0.3058

[8]
ZnCdCoAs, relaxed, DFT PBE; relative energy among the computed polymorphs = 14 kJ/mol of formula units
1.0
6.3770 0.0000 0.0000
0.0000 6.3770 0.0000
0.0000 0.0000 6.3770
Zn Cd Co As
4 4 4 4
direct
0.0000 0.0000 0.0000
0.0000 0.5000 0.5000
0.5000 0.0000 0.5000
0.5000 0.5000 0.0000
0.2500 0.2500 0.2500
0.2500 0.7500 0.7500
0.7500 0.2500 0.7500
0.7500 0.7500 0.2500
0.2500 0.2500 0.7500
0.2500 0.7500 0.2500
0.7500 0.2500 0.2500
0.7500 0.7500 0.7500
0.0000 0.0000 0.5000
0.0000 0.5000 0.0000
0.5000 0.0000 0.0000
0.5000 0.5000 0.5000

[9]
Hf2GeO4, relaxed, DFT PBE; uncorrected energy = -8.605 eV per atom
1.0
0.0000 4.6380 4.6380
4.6380 0.0000 4.6380
4.6380 4.6380 0.0000
Hf Ge O
4 2 8
direct
0.0000 0.0000 0.0000
0.0000 0.0000 0.5000
0.0000 0.5000 0.0000
0.5000 0.0000 0.0000
0.3750 0.3750 0.3750
0.6250 0.6250 0.6250
0.1855 0.7715 0.7715
0.2285 0.2285 0.2285
0.2285 0.2285 0.8145
0.2285 0.8145 0.2285
0.7715 0.1855 0.7715
0.7715 0.7715 0.1855
0.7715 0.7715 0.7715
0.8145 0.2285 0.2285

[10]
LuFeCuAs, relaxed, DFT PBE; relative energy among the computed polymorphs = 81 kJ/mol of formula units
1.0
6.4555 0.0000 0.0000
0.0000 6.4555 0.0000
0.0000 0.0000 6.4555
Lu Fe Cu As
4 4 4 4
direct
0.0000 0.0000 0.0000
0.0000 0.5000 0.5000
0.5000 0.0000 0.5000
0.5000 0.5000 0.0000
0.2500 0.2500 0.7500
0.2500 0.7500 0.2500
0.7500 0.2500 0.2500
0.7500 0.7500 0.7500
0.0000 0.0000 0.5000
0.0000 0.5000 0.0000
0.5000 0.0000 0.0000
0.5000 0.5000 0.5000
0.2500 0.2500 0.2500
0.2500 0.7500 0.7500
0.7500 0.2500 0.7500
0.7500 0.7500 0.2500

[11]
Fe3B2, relaxed, DFT PBE; uncorrected energy = -7.757 eV per atom
1.0
2.5193 1.4545 4.2282
-2.5193 1.4545 4.2282
0.0000 -2.9091 4.2282
Fe B
6 4
direct
0.1153 0.7500 0.3847
0.2500 0.6153 0.8847
0.3847 0.1153 0.7500
0.6153 0.8847 0.2500
0.7500 0.3847 0.1153
0.8847 0.2500 0.6153
0.1806 0.1806 0.1806
0.3194 0.3194 0.3194
0.6806 0.6806 0.6806
0.8194 0.8194 0.8194

[12]
NbCuNiAs, relaxed, DFT PBE; relative energy among the computed polymorphs = 0 kJ/mol of formula units
1.0
6.1111 0.0000 0.0000
0.0000 6.1111 0.0000
0.0000 0.0000 6.1111
Nb Cu Ni As
4 4 4 4
direct
0.0000 0.0000 0.0000
0.0000 0.5000 0.5000
0.5000 0.0000 0.5000
0.5000 0.5000 0.0000
0.0000 0.0000 0.5000
0.0000 0.5000 0.0000
0.5000 0.0000 0.0000
0.5000 0.5000 0.5000
0.2500 0.2500 0.7500
0.2500 0.7500 0.2500
0.7500 0.2500 0.2500
0.7500 0.7500 0.7500
0.2500 0.2500 0.2500
0.2500 0.7500 0.7500
0.7500 0.2500 0.7500
0.7500 0.7500 0.2500